Compound: Ho3MgCd7
Source: Alexandria via LeMat-Bulk
Functional: PBE
Structure: optimized geometry

## Properties
**ΔE_f**: -0.1662 eV per atom
**Space-group type**: Cmcm (63)

Structure (POSCAR):
```
Ho3MgCd7
1.0
1.749 -9.992 0.000
1.749 9.992 0.000
0.000 0.000 15.566
Ho Mg Cd
6 2 14
Direct
0.061 0.939 0.590
0.061 0.939 0.910
0.336 0.664 0.250
0.664 0.336 0.750
0.939 0.061 0.090
0.939 0.061 0.410
0.118 0.882 0.250
0.882 0.118 0.750
0.280 0.720 0.651
0.280 0.720 0.849
0.309 0.691 0.041
0.309 0.691 0.459
0.423 0.577 0.589
0.423 0.577 0.911
0.492 0.508 0.250
0.508 0.492 0.750
0.577 0.423 0.089
0.577 0.423 0.411
0.691 0.309 0.541
0.691 0.309 0.959
0.720 0.280 0.151
0.720 0.280 0.349
```


Compound: LiGaC
Source: Alexandria via LeMat-Bulk
Functional: PBE
Structure: optimized geometry

## Properties
**ΔE_f**: 0.2328 eV per atom
**Space-group type**: P1 (1)

Structure (POSCAR):
```
LiGaC
1.0
3.116 0.000 0.000
1.517 4.998 0.000
0.000 0.275 5.619
Li Ga C
2 2 2
Direct
0.000 0.000 0.000
0.242 0.510 0.793
0.589 0.809 0.432
0.864 0.270 0.432
0.655 0.685 0.045
0.783 0.428 0.068
```


Compound: PrDy4Co
Source: Alexandria via LeMat-Bulk
Functional: PBE
Structure: optimized geometry

## Properties
**ΔE_f**: -0.0307 eV per atom
**Space-group type**: C2/m (12)

Structure (POSCAR):
```
PrDy4Co
1.0
5.982 -1.784 0.000
5.982 1.784 0.000
-3.009 0.000 7.886
Pr Dy Co
1 4 1
Direct
0.000 0.000 0.000
0.328 0.328 0.208
0.375 0.375 0.618
0.625 0.625 0.382
0.672 0.672 0.792
0.000 0.000 0.500
```


Compound: Ac2UBO8
Source: Alexandria via LeMat-Bulk
Functional: PBE
Structure: optimized geometry

## Properties
**E_form (uncorrected)**: -2.3527 eV per atom
**Space-group type**: P-3m1 (164)

Structure (POSCAR):
```
Ac2UBO8
1.0
6.775 0.000 0.000
-3.388 5.868 0.000
0.000 0.000 4.924
Ac U B O
2 1 1 8
Direct
0.333 0.667 0.193
0.667 0.333 0.807
0.000 0.000 0.500
0.000 0.000 0.000
0.123 0.246 0.200
0.123 0.877 0.200
0.246 0.123 0.800
0.333 0.667 0.685
0.667 0.333 0.315
0.754 0.877 0.200
0.877 0.123 0.800
0.877 0.754 0.800
```


Compound: Ti2Cr2Mo
Source: Alexandria via LeMat-Bulk
Functional: PBE
Structure: optimized geometry

## Properties
**ΔE_f**: 0.2758 eV per atom
**Space-group type**: P4/mbm (127)

Structure (POSCAR):
```
Ti2Cr2Mo
1.0
6.633 0.000 0.000
0.000 6.633 0.000
0.000 0.000 3.377
Ti Cr Mo
4 4 2
Direct
0.162 0.338 0.000
0.338 0.838 0.000
0.662 0.162 0.000
0.838 0.662 0.000
0.145 0.645 0.500
0.355 0.145 0.500
0.645 0.855 0.500
0.855 0.355 0.500
0.000 0.000 0.500
0.500 0.500 0.500
```


Compound: NdSmMgAg
Source: Alexandria via LeMat-Bulk
Functional: PBE
Structure: optimized geometry

## Properties
**ΔE_f**: -0.1833 eV per atom
**Offset from the most stable computed form**: 0.0000 eV/atom
**Space-group type**: P4mm (99)

Structure (POSCAR):
```
NdSmMgAg
1.0
3.829 0.000 0.000
0.000 3.829 0.000
0.000 0.000 7.437
Nd Sm Mg Ag
1 1 1 1
Direct
0.000 0.000 0.000
0.000 0.000 0.485
0.500 0.500 0.740
0.500 0.500 0.250
```


Compound: Ac6Sn5Pb
Source: Alexandria via LeMat-Bulk
Functional: PBE
Structure: optimized geometry

## Properties
**ΔE_f**: -0.5936 eV per atom
**Space-group type**: C2/m (12)

Structure (POSCAR):
```
Ac6Sn5Pb
1.0
5.361 -8.146 0.000
5.361 8.146 0.000
-2.768 0.000 4.699
Ac Sn Pb
6 5 1
Direct
0.079 0.415 0.747
0.244 0.244 0.244
0.415 0.079 0.747
0.585 0.921 0.253
0.756 0.756 0.756
0.921 0.585 0.253
0.000 0.000 0.500
0.168 0.832 0.000
0.337 0.663 0.500
0.663 0.337 0.500
0.832 0.168 0.000
0.500 0.500 0.000
```


Compound: PdPt3Se
Source: Alexandria via LeMat-Bulk
Functional: PBE
Structure: optimized geometry

## Properties
**E_form (uncorrected)**: 0.6852 eV per atom
**Offset from the most stable computed form**: 0.0000 eV/atom
**Space-group type**: Pm-3m (221)

Structure (POSCAR):
```
PdPt3Se
1.0
4.646 0.000 0.000
0.000 4.646 0.000
0.000 0.000 4.646
Pd Pt Se
1 3 1
Direct
0.000 0.000 0.000
0.000 0.500 0.500
0.500 0.000 0.500
0.500 0.500 0.000
0.500 0.500 0.500
```


Taking the records one at a time from the top gives M_tot values of 0.00, 0.00, 0.00, 0.00, 0.04, 0.00, 0.00, 0.00 Bohr magnetons per cell.
Taking the records one at a time from the top gives V values of 24.726, 14.584, 28.044, 16.313, 14.858, 27.261, 34.205, 20.054 Å³ per atom.